Ce9Al2Cd | PBE-GGA | optimized geometry

The structure in POSCAR format:
```
Ce9Al2Cd
1.0
4.707 0.000 0.000
0.000 4.707 0.000
0.000 0.000 14.148
Ce Al Cd
9 2 1
direct
0.000 0.000 0.000 Ce
0.000 0.000 0.335 Ce
0.000 0.000 0.665 Ce
0.000 0.500 0.174 Ce
0.000 0.500 0.500 Ce
0.000 0.500 0.826 Ce
0.500 0.000 0.174 Ce
0.500 0.000 0.500 Ce
0.500 0.000 0.826 Ce
0.500 0.500 0.336 Al
0.500 0.500 0.664 Al
0.500 0.500 0.000 Cd
```

Calculated values
- density of states at the Fermi level (states/eV/f.u.) = 36.06
- magnetic moment (μB/cell) = 7.09
- E (eV per cell) = -63.1